DFT (PBE) results for a relaxed structure of BeI2NCl.

a b c (Å): 6.0949 6.0949 3.0861
angles (deg): 90.00 90.00 90.00
Closest atoms and distances in Å follow each position.
Sites, in units of the cell vectors:
Be 0.0000 0.0000 0.0000  2 N 1.54
I 0.0000 0.5000 0.0000  2 Be 3.05, 2 I 3.09
I 0.5000 0.0000 0.0000  2 Be 3.05, 2 I 3.09
N 0.0000 0.0000 0.5000  2 Be 1.54
Cl 0.5000 0.5000 0.5000  2 Cl 3.09, 8 I 3.42

Output
- distance to the lowest polymorph of the same formula (eV/f.u.) = 0.00
- space-group type = P4/mmm (123)
- ΔE_f (raw) (meV per atom) = 501

=====

DFT (PBE) results for a relaxed structure of BeI2NCl.

a b c (Å): 7.2767 7.2767 3.2712
angles (deg): 90.00 90.00 90.00
Closest atoms and distances in Å follow each position.
Sites, in units of the cell vectors:
Be 0.0000 0.0000 0.0000  2 Be 3.27
I 0.0000 0.5000 0.5000  2 I 3.27, 2 Cl 3.64
I 0.5000 0.0000 0.5000  2 I 3.27, 2 Cl 3.64
N 0.5000 0.5000 0.0000  2 Cl 1.64
Cl 0.5000 0.5000 0.5000  2 N 1.64

Output
- distance to the lowest polymorph of the same formula (eV/f.u.) = 4.86
- space-group type = P4/mmm (123)
- ΔE_f (raw) (meV per atom) = 1472

=====

DFT (PBE) results for a relaxed structure of Rb2BeI6Cl.

a b c (Å): 8.5145 8.5145 8.5145
angles (deg): 120.08 120.08 89.86
Closest atoms and distances in Å follow each position.
Sites, in units of the cell vectors:
Rb 0.2500 0.7500 0.5000  12 I 4.27-4.29
Rb 0.7500 0.2500 0.5000  12 I 4.27-4.29
Be 0.0000 0.0000 0.0000  4 I 2.51
I 0.2085 0.2085 0.4171  1 Be 2.51
I 0.2085 0.7915 0.0000  1 Be 2.51
I 0.2798 0.2798 0.0000  1 Cl 2.66
I 0.7202 0.7202 0.0000  1 Cl 2.66
I 0.7915 0.2085 0.0000  1 Be 2.51
I 0.7915 0.7915 0.5829  1 Be 2.51
Cl 0.5000 0.5000 0.0000  2 I 2.66

Output
- space-group type = I4/mmm (139)
- ΔE_f (raw) (meV per atom) = -578